Entry from the Alexandria database: a geometry-optimized YEr2Tl3S6 structure (PBE).

```
YEr2Tl3S6
1.0
3.4717 -6.0132 0.0000
3.4717 6.0132 0.0000
-2.3147 0.0000 7.5230
Y Er Tl S
1 2 3 6
Direct
0.0000 0.0000 0.0000
0.3333 0.6667 0.0000
0.6667 0.3333 0.0000
0.1664 0.8336 0.5000
0.5000 0.5000 0.5000
0.8336 0.1664 0.5000
0.0656 0.4017 0.1969
0.2705 0.2705 0.8035
0.4017 0.0656 0.1969
0.5983 0.9344 0.8031
0.7295 0.7295 0.1965
0.9344 0.5983 0.8031
```

Calculated density (g cm⁻³): 6.50
E_form (uncorrected) (meV/atom): -1491
DOS at the Fermi energy (states/eV per cell): 0.0

---

Entry from the Alexandria database: a geometry-optimized ZrSc3Os structure (PBE).

```
ZrSc3Os
1.0
5.0071 0.0000 0.0000
0.0000 5.0071 0.0000
0.0000 0.0000 5.0071
Zr Sc Os
1 3 1
Direct
0.0000 0.0000 0.0000
0.0000 0.5000 0.5000
0.5000 0.0000 0.5000
0.5000 0.5000 0.0000
0.5000 0.5000 0.5000
```

Excess energy over the best structure of this formula in the dataset (meV/atom): 433
Calculated density (g cm⁻³): 5.51
Calculated formation energy (eV/atom): 0.20
DOS at the Fermi energy (states/eV per cell): 5.7

---

Entry from the Alexandria database: a geometry-optimized BaP2Br structure (PBE).

```
BaP2Br
1.0
7.5224 0.0000 0.0000
0.0000 7.5224 0.0000
0.0000 0.0000 7.5224
Ba P Br
4 8 4
Direct
0.0000 0.0000 0.0000
0.0000 0.5000 0.5000
0.5000 0.0000 0.5000
0.5000 0.5000 0.0000
0.2500 0.2500 0.2500
0.2500 0.2500 0.7500
0.2500 0.7500 0.2500
0.2500 0.7500 0.7500
0.7500 0.2500 0.2500
0.7500 0.2500 0.7500
0.7500 0.7500 0.2500
0.7500 0.7500 0.7500
0.0000 0.0000 0.5000
0.0000 0.5000 0.0000
0.5000 0.0000 0.0000
0.5000 0.5000 0.5000
```

Excess energy over the best structure of this formula in the dataset (meV/atom): 1148
Calculated density (g cm⁻³): 4.36
E_form (uncorrected) (meV/atom): 316
DOS at the Fermi energy (states/eV per cell): 26.1

---

Entry from the Alexandria database: a geometry-optimized LaTl3Tc structure (PBE).

```
LaTl3Tc
1.0
5.2701 0.0000 0.0000
0.0000 5.2701 0.0000
0.0000 0.0000 5.2701
La Tl Tc
1 3 1
Direct
0.0000 0.0000 0.0000
0.0000 0.5000 0.5000
0.5000 0.0000 0.5000
0.5000 0.5000 0.0000
0.5000 0.5000 0.5000
```

Excess energy over the best structure of this formula in the dataset (meV/atom): 0
Calculated density (g cm⁻³): 9.64
Calculated formation energy (eV/atom): 0.23
DOS at the Fermi energy (states/eV per cell): 4.1

---

Entry from the Alexandria database: a geometry-optimized LiHPd2Pb structure (PBE).

```
LiHPd2Pb
1.0
4.0756 0.0000 0.0000
0.0000 4.0756 0.0000
0.0000 0.0000 4.2272
Li H Pd Pb
1 1 2 1
Direct
0.0000 0.0000 0.0000
0.0000 0.0000 0.5000
0.0000 0.5000 0.5000
0.5000 0.0000 0.5000
0.5000 0.5000 0.0000
```

Excess energy over the best structure of this formula in the dataset (meV/atom): 0
Calculated density (g cm⁻³): 10.12
DOS at the Fermi energy (states/eV per cell): 2.4

---

Entry from the Alexandria database: a geometry-optimized PrSc2I6 structure (PBE).

```
PrSc2I6
1.0
8.4966 -2.0546 0.0000
8.4966 2.0546 0.0000
-5.1283 0.0000 10.1611
Pr Sc I
1 2 6
Direct
0.0000 0.0000 0.0000
0.3467 0.3467 0.6902
0.6533 0.6533 0.3098
0.0247 0.0247 0.2956
0.2964 0.2964 0.3941
0.3423 0.3423 0.9420
0.6577 0.6577 0.0580
0.7036 0.7036 0.6059
0.9753 0.9753 0.7044
```

Calculated density (g cm⁻³): 4.64
E_form (uncorrected) (meV/atom): -1173
DOS at the Fermi energy (states/eV per cell): 7.0

---

Entry from the Alexandria database: a geometry-optimized TcSb2Pb structure (PBE).

```
TcSb2Pb
1.0
4.4927 0.0000 0.0000
0.0000 4.4927 0.0000
0.0000 0.0000 9.5326
Tc Sb Pb
2 4 2
Direct
0.0000 0.0000 0.0000
0.5000 0.5000 0.5000
0.0000 0.0000 0.5000
0.0000 0.5000 0.2500
0.5000 0.0000 0.7500
0.5000 0.5000 0.0000
0.0000 0.5000 0.7500
0.5000 0.0000 0.2500
```

Calculated density (g cm⁻³): 9.47
E_form (uncorrected) (meV/atom): 666
DOS at the Fermi energy (states/eV per cell): 8.0

---

Entry from the Alexandria database: a geometry-optimized LiCu2Ir structure (PBE).

```
LiCu2Ir
1.0
2.5144 0.0000 0.0000
0.0000 4.1165 0.0000
-1.2507 0.0000 4.9296
Li Cu Ir
1 2 1
Direct
0.0000 0.0000 0.0000
0.4089 0.5000 0.2468
0.5911 0.5000 0.7532
0.0000 0.0000 0.5000
```

Excess energy over the best structure of this formula in the dataset (meV/atom): 88
Calculated density (g cm⁻³): 10.62
Calculated formation energy (eV/atom): 0.00
DOS at the Fermi energy (states/eV per cell): 1.8

---

Entry from the Alexandria database: a geometry-optimized HfBCl3 structure (PBE).

```
HfBCl3
1.0
4.4514 0.0000 0.0000
0.0000 4.4514 0.0000
0.0000 0.0000 4.4514
Hf B Cl
1 1 3
Direct
0.0000 0.0000 0.0000
0.5000 0.5000 0.5000
0.0000 0.5000 0.5000
0.5000 0.0000 0.5000
0.5000 0.5000 0.0000
```

Excess energy over the best structure of this formula in the dataset (meV/atom): 605
Calculated density (g cm⁻³): 5.57
E_form (uncorrected) (meV/atom): 616
DOS at the Fermi energy (states/eV per cell): 3.7

---

Entry from the Alexandria database: a geometry-optimized ZrAsCl2 structure (PBE).

```
ZrAsCl2
1.0
3.5893 0.0000 0.0000
0.0000 3.5893 0.0000
0.0000 0.0000 7.7981
Zr As Cl
1 1 2
Direct
0.0000 0.0000 0.0000
0.5000 0.5000 0.1302
0.0000 0.0000 0.3333
0.5000 0.5000 0.7673
```

Excess energy over the best structure of this formula in the dataset (meV/atom): 288
Calculated density (g cm⁻³): 3.92
E_form (uncorrected) (meV/atom): -778
DOS at the Fermi energy (states/eV per cell): 2.6

---

Entry from the Alexandria database: a geometry-optimized KAcTe2 structure (PBE).

```
KAcTe2
1.0
4.8102 0.0000 0.0000
-2.4051 4.1657 0.0000
0.0000 0.0000 25.5677
K Ac Te
3 3 6
Direct
0.0000 0.0000 0.0000
0.3333 0.6667 0.6667
0.6667 0.3333 0.3333
0.0000 0.0000 0.1700
0.3333 0.6667 0.8366
0.6667 0.3333 0.5033
0.0000 0.0000 0.5765
0.0000 0.0000 0.7631
0.3333 0.6667 0.2432
0.3333 0.6667 0.4298
0.6667 0.3333 0.0965
0.6667 0.3333 0.9099
```

Excess energy over the best structure of this formula in the dataset (meV/atom): 26
Calculated density (g cm⁻³): 5.07
E_form (uncorrected) (meV/atom): -1471
DOS at the Fermi energy (states/eV per cell): 0.0

---

Entry from the Alexandria database: a geometry-optimized CrTe structure (PBE).

```
CrTe
1.0
3.6598 0.0000 0.0000
0.0000 3.9151 0.0000
0.0000 0.0000 15.0006
Cr Te
4 4
Direct
0.0000 0.2500 0.0743
0.0000 0.7500 0.9257
0.5000 0.2500 0.4257
0.5000 0.7500 0.5743
0.0000 0.2500 0.6246
0.0000 0.7500 0.3754
0.5000 0.2500 0.8754
0.5000 0.7500 0.1246
```

Calculated density (g cm⁻³): 5.55
E_form (uncorrected) (meV/atom): 219
DOS at the Fermi energy (states/eV per cell): 2.6

---

Entry from the Alexandria database: a geometry-optimized CsSb2Te2 structure (PBE).

```
CsSb2Te2
1.0
4.7850 0.0000 0.0000
0.0000 4.7850 0.0000
0.0000 0.0000 15.8792
Cs Sb Te
2 4 4
Direct
0.0000 0.0000 0.0000
0.5000 0.5000 0.5000
0.0000 0.5000 0.2500
0.0000 0.5000 0.7500
0.5000 0.0000 0.2500
0.5000 0.0000 0.7500
0.0000 0.0000 0.4055
0.0000 0.0000 0.5945
0.5000 0.5000 0.0945
0.5000 0.5000 0.9055
```

Excess energy over the best structure of this formula in the dataset (meV/atom): 134
Calculated density (g cm⁻³): 5.77
E_form (uncorrected) (meV/atom): -101
DOS at the Fermi energy (states/eV per cell): 5.7

---

Entry from the Alexandria database: a geometry-optimized TlInAgBi structure (PBE).

```
TlInAgBi
1.0
7.5730 0.0000 0.0000
0.0000 7.5730 0.0000
0.0000 0.0000 7.5730
Tl In Ag Bi
4 4 4 4
Direct
0.0000 0.0000 0.0000
0.0000 0.5000 0.5000
0.5000 0.0000 0.5000
0.5000 0.5000 0.0000
0.2500 0.2500 0.7500
0.2500 0.7500 0.2500
0.7500 0.2500 0.2500
0.7500 0.7500 0.7500
0.2500 0.2500 0.2500
0.2500 0.7500 0.7500
0.7500 0.2500 0.7500
0.7500 0.7500 0.2500
0.0000 0.0000 0.5000
0.0000 0.5000 0.0000
0.5000 0.0000 0.0000
0.5000 0.5000 0.5000
```

Calculated density (g cm⁻³): 9.73
Calculated formation energy (eV/atom): 0.07
DOS at the Fermi energy (states/eV per cell): 3.8

---

Entry from the Alexandria database: a geometry-optimized Ba2SbCl8 structure (PBE).

```
Ba2SbCl8
1.0
9.3930 -2.5900 0.0000
9.3930 2.5900 0.0000
-1.8953 0.0000 6.6877
Ba Sb Cl
2 1 8
Direct
0.1522 0.1522 0.1173
0.8478 0.8478 0.8827
0.5000 0.5000 0.5000
0.0039 0.0039 0.2763
0.2408 0.2408 0.7841
0.3802 0.3802 0.6187
0.3982 0.3982 0.1555
0.6018 0.6018 0.8445
0.6198 0.6198 0.3813
0.7592 0.7592 0.2159
0.9961 0.9961 0.7237
```

Calculated density (g cm⁻³): 3.47
E_form (uncorrected) (meV/atom): -1546
DOS at the Fermi energy (states/eV per cell): 5.8

---

Entry from the Alexandria database: a geometry-optimized CaHgCl structure (PBE).

```
CaHgCl
1.0
3.9193 0.0000 0.0000
-1.9597 3.3942 0.0000
0.0000 0.0000 28.3840
Ca Hg Cl
4 4 4
Direct
0.3333 0.6667 0.1147
0.3333 0.6667 0.6182
0.6667 0.3333 0.3818
0.6667 0.3333 0.8853
0.3333 0.6667 0.8053
0.3333 0.6667 0.9625
0.6667 0.3333 0.0375
0.6667 0.3333 0.1947
0.3333 0.6667 0.3248
0.3333 0.6667 0.4389
0.6667 0.3333 0.5611
0.6667 0.3333 0.6752
```

Excess energy over the best structure of this formula in the dataset (meV/atom): 0
Calculated density (g cm⁻³): 4.86
E_form (uncorrected) (meV/atom): -1197
DOS at the Fermi energy (states/eV per cell): 6.0

---

Entry from the Alexandria database: a geometry-optimized NaDy2Tl structure (PBE).

```
NaDy2Tl
1.0
3.5117 0.0000 0.0000
-1.7558 3.0412 0.0000
0.0000 0.0000 36.4435
Na Dy Tl
3 6 3
Direct
0.0000 0.0000 0.0000
0.3333 0.6667 0.6667
0.6667 0.3333 0.3333
0.0000 0.0000 0.0962
0.0000 0.0000 0.9038
0.3333 0.6667 0.5705
0.3333 0.6667 0.7628
0.6667 0.3333 0.2372
0.6667 0.3333 0.4295
0.0000 0.0000 0.5000
0.3333 0.6667 0.1667
0.6667 0.3333 0.8333
```

Excess energy over the best structure of this formula in the dataset (meV/atom): 144
Calculated density (g cm⁻³): 7.07
Calculated formation energy (eV/atom): 0.10
DOS at the Fermi energy (states/eV per cell): 12.8

---

Entry from the Alexandria database: a geometry-optimized MnCrCuTeAu structure (PBE).

```
MnCrCuTeAu
1.0
8.2020 0.0000 0.0000
0.0000 3.9042 0.0000
-0.4055 0.0000 5.6642
Mn Cr Cu Te Au
2 2 2 2 2
Direct
0.0000 0.0000 0.0000
0.5000 0.5000 0.0000
0.3079 0.0000 0.1313
0.8079 0.5000 0.1313
0.1133 0.5000 0.3047
0.6133 0.0000 0.3047
0.1828 0.5000 0.8006
0.6828 0.0000 0.8006
0.4272 0.5000 0.4566
0.9272 0.0000 0.4566
```

Excess energy over the best structure of this formula in the dataset (meV/atom): 0
Calculated density (g cm⁻³): 9.06
E_form (uncorrected) (meV/atom): 128
DOS at the Fermi energy (states/eV per cell): 4.0

---

Entry from the Alexandria database: a geometry-optimized Li2TaCo structure (PBE).

```
Li2TaCo
1.0
5.9560 0.0000 0.0000
0.0000 5.9560 0.0000
0.0000 0.0000 5.9560
Li Ta Co
8 4 4
Direct
0.0000 0.0000 0.0000
0.0000 0.5000 0.5000
0.2500 0.2500 0.2500
0.2500 0.7500 0.7500
0.5000 0.0000 0.5000
0.5000 0.5000 0.0000
0.7500 0.2500 0.7500
0.7500 0.7500 0.2500
0.2500 0.2500 0.7500
0.2500 0.7500 0.2500
0.7500 0.2500 0.2500
0.7500 0.7500 0.7500
0.0000 0.0000 0.5000
0.0000 0.5000 0.0000
0.5000 0.0000 0.0000
0.5000 0.5000 0.5000
```

Excess energy over the best structure of this formula in the dataset (meV/atom): 127
Calculated density (g cm⁻³): 7.98
Calculated formation energy (eV/atom): 0.29
DOS at the Fermi energy (states/eV per cell): 17.0

---

Entry from the Alexandria database: a geometry-optimized NaSn2O3 structure (PBE).

```
NaSn2O3
1.0
4.2963 0.0000 0.0000
0.0000 10.3015 0.0000
0.0000 0.0000 4.6929
Na Sn O
2 4 6
Direct
0.0000 0.0000 0.0000
0.5000 0.5000 0.5000
0.0000 0.3350 0.0253
0.0000 0.6650 0.0253
0.5000 0.1650 0.5253
0.5000 0.8350 0.5253
0.0000 0.1906 0.6920
0.0000 0.5000 0.7550
0.0000 0.8094 0.6920
0.5000 0.0000 0.2550
0.5000 0.3094 0.1920
0.5000 0.6906 0.1920
```

Calculated density (g cm⁻³): 4.93
E_form (uncorrected) (meV/atom): -1235
DOS at the Fermi energy (states/eV per cell): 2.8

---

Entry from the Alexandria database: a geometry-optimized YCo2Br structure (PBE).

```
YCo2Br
1.0
3.3730 0.0000 0.0000
-1.6865 2.9211 0.0000
0.0000 0.0000 23.6132
Y Co Br
3 6 3
Direct
0.0000 0.0000 0.0000
0.3333 0.6667 0.6667
0.6667 0.3333 0.3333
0.0000 0.0000 0.2436
0.0000 0.0000 0.7564
0.3333 0.6667 0.4231
0.3333 0.6667 0.9103
0.6667 0.3333 0.0897
0.6667 0.3333 0.5769
0.0000 0.0000 0.5000
0.3333 0.6667 0.1667
0.6667 0.3333 0.8333
```

Excess energy over the best structure of this formula in the dataset (meV/atom): 793
Calculated density (g cm⁻³): 6.14
E_form (uncorrected) (meV/atom): 498
DOS at the Fermi energy (states/eV per cell): 21.5

---

Entry from the Alexandria database: a geometry-optimized La2Tb2PrSm structure (PBE).

```
La2Tb2PrSm
1.0
5.8001 0.0000 0.0000
0.0000 10.0418 0.0000
0.0000 0.0000 7.1448
La Tb Pr Sm
4 4 2 2
Direct
0.0000 0.0003 0.0000
0.0000 0.9997 0.5000
0.5000 0.1677 0.2502
0.5000 0.8323 0.7502
0.0000 0.3338 0.2499
0.0000 0.6662 0.7499
0.5000 0.1671 0.7499
0.5000 0.8329 0.2499
0.5000 0.4998 0.9998
0.5000 0.5002 0.4998
0.0000 0.3346 0.7496
0.0000 0.6654 0.2496
```

Calculated density (g cm⁻³): 7.08
Calculated formation energy (eV/atom): 0.06
DOS at the Fermi energy (states/eV per cell): 18.8

---

Entry from the Alexandria database: a geometry-optimized LiScCl4 structure (PBE).

```
LiScCl4
1.0
6.4774 0.0000 0.0000
0.0000 3.7116 0.0000
-1.4721 0.0000 6.8155
Li Sc Cl
1 1 4
Direct
0.0000 0.0000 0.0000
0.5000 0.5000 0.0000
0.1366 0.5000 0.8085
0.3985 0.0000 0.2119
0.6015 0.0000 0.7881
0.8634 0.5000 0.1915
```

Excess energy over the best structure of this formula in the dataset (meV/atom): 0
Calculated density (g cm⁻³): 1.96
E_form (uncorrected) (meV/atom): -1999
DOS at the Fermi energy (states/eV per cell): 0.0

---

Entry from the Alexandria database: a geometry-optimized EuDyTlIr structure (PBE).

```
EuDyTlIr
1.0
7.2932 0.0000 0.0000
0.0000 7.2932 0.0000
0.0000 0.0000 7.2932
Eu Dy Tl Ir
4 4 4 4
Direct
0.0000 0.0000 0.0000
0.0000 0.5000 0.5000
0.5000 0.0000 0.5000
0.5000 0.5000 0.0000
0.0000 0.0000 0.5000
0.0000 0.5000 0.0000
0.5000 0.0000 0.0000
0.5000 0.5000 0.5000
0.2500 0.2500 0.2500
0.2500 0.7500 0.7500
0.7500 0.2500 0.7500
0.7500 0.7500 0.2500
0.2500 0.2500 0.7500
0.2500 0.7500 0.2500
0.7500 0.2500 0.2500
0.7500 0.7500 0.7500
```

Calculated density (g cm⁻³): 12.18
Calculated formation energy (eV/atom): -0.34
DOS at the Fermi energy (states/eV per cell): 29.7

---

Entry from the Alexandria database: a geometry-optimized Ag2SF6 structure (PBE).

```
Ag2SF6
1.0
5.2969 0.0000 0.0000
0.0000 5.2969 0.0000
0.0000 0.0000 10.2920
Ag S F
4 2 12
Direct
0.0000 0.0000 0.1571
0.0000 0.0000 0.8429
0.5000 0.5000 0.3429
0.5000 0.5000 0.6571
0.0000 0.0000 0.5000
0.5000 0.5000 0.0000
0.1734 0.1734 0.3672
0.1734 0.1734 0.6328
0.2487 0.7513 0.5000
0.2513 0.2513 0.0000
0.3266 0.6734 0.1328
0.3266 0.6734 0.8672
0.6734 0.3266 0.1328
0.6734 0.3266 0.8672
0.7487 0.7487 0.0000
0.7513 0.2487 0.5000
0.8266 0.8266 0.3672
0.8266 0.8266 0.6328
```

Calculated density (g cm⁻³): 4.16
E_form (uncorrected) (meV/atom): -1231
DOS at the Fermi energy (states/eV per cell): 0.0

---

Entry from the Alexandria database: a geometry-optimized LaSiH2 structure (PBE).

```
LaSiH2
1.0
4.3930 0.0000 0.0000
0.0000 4.3930 0.0000
0.0000 0.0000 11.7308
La Si H
4 4 8
Direct
0.0000 0.0000 0.0000
0.0000 0.5000 0.2500
0.5000 0.0000 0.7500
0.5000 0.5000 0.5000
0.0000 0.0000 0.5000
0.0000 0.5000 0.7500
0.5000 0.0000 0.2500
0.5000 0.5000 0.0000
0.1104 0.2500 0.6250
0.2500 0.6104 0.8750
0.2500 0.8896 0.3750
0.3896 0.2500 0.1250
0.6104 0.7500 0.1250
0.7500 0.1104 0.3750
0.7500 0.3896 0.8750
0.8896 0.7500 0.6250
```

Calculated density (g cm⁻³): 4.96
Calculated total energy (eV per cell): -69.106
DOS at the Fermi energy (states/eV per cell): 9.6